(1)
# V4OF11

A geometry-optimized V4OF11 structure (PBE+U, Alexandria).

```
data_V4OF11
_chemical_formula_sum 'V4 O1 F11'
_cell_length_a 5.280
_cell_length_b 7.529
_cell_length_c 5.460
_cell_angle_alpha 93.24
_cell_angle_beta 89.96
_cell_angle_gamma 89.89
_symmetry_space_group_name_H-M 'P 1'
_symmetry_Int_Tables_number 1
loop_
_symmetry_equiv_pos_as_xyz
'x,y,z'
loop_
_atom_site_label
_atom_site_fract_x
_atom_site_fract_y
_atom_site_fract_z
F1 0.699 0.553 0.801
F2 0.304 0.051 0.802
F3 0.694 0.950 0.198
F4 0.196 0.457 0.693
F5 0.895 0.252 0.002
F6 0.802 0.551 0.305
F7 0.106 0.753 0.999
F8 0.417 0.740 0.502
F9 0.303 0.454 0.197
F10 0.192 0.045 0.304
F11 0.806 0.954 0.698
V1 0.999 0.001 0.001
V2 0.001 0.503 0.000
V3 0.500 0.000 0.500
V4 0.510 0.479 0.500
O1 0.578 0.260 0.499
```

Computed properties:
ρ	3.29	g/cm3
D(E_F)	0.000	states/eV/atom
energy relative to the lowest polymorph listed for this composition	0.0017	eV per atom


(2)
# V3O4F2

A geometry-optimized V3O4F2 structure (PBE+U, Alexandria).

```
data_V3O4F2
_chemical_formula_sum 'V6 O8 F4'
_cell_length_a 4.692
_cell_length_b 5.618
_cell_length_c 7.714
_cell_angle_alpha 85.54
_cell_angle_beta 88.71
_cell_angle_gamma 88.58
_symmetry_space_group_name_H-M 'P 1'
_symmetry_Int_Tables_number 1
loop_
_symmetry_equiv_pos_as_xyz
'x,y,z'
loop_
_atom_site_label
_atom_site_fract_x
_atom_site_fract_y
_atom_site_fract_z
V1 0.494 0.832 0.673
V2 0.943 0.662 0.326
V3 0.009 0.001 0.003
V4 0.531 0.168 0.344
V5 0.005 0.341 0.671
V6 0.493 0.495 0.987
O1 0.194 0.294 0.899
O2 0.809 0.693 0.106
O3 0.300 0.797 0.897
O4 0.811 0.374 0.429
O5 0.317 0.141 0.550
O6 0.713 0.869 0.434
O7 0.680 0.192 0.119
O8 0.702 0.541 0.754
F1 0.800 0.038 0.770
F2 0.297 0.470 0.244
F3 0.199 0.638 0.554
F4 0.204 0.954 0.240
```

Computed properties:
ρ	4.18	g/cm3
energy relative to the lowest polymorph listed for this composition	0.0383	eV per atom


(3)
# VOF3

A geometry-optimized VOF3 structure (PBE+U, Alexandria).

```
data_VOF3
_chemical_formula_sum 'V4 O4 F12'
_cell_length_a 5.271
_cell_length_b 5.643
_cell_length_c 9.630
_cell_angle_alpha 89.20
_cell_angle_beta 89.74
_cell_angle_gamma 89.13
_symmetry_space_group_name_H-M 'P 1'
_symmetry_Int_Tables_number 1
loop_
_symmetry_equiv_pos_as_xyz
'x,y,z'
loop_
_atom_site_label
_atom_site_fract_x
_atom_site_fract_y
_atom_site_fract_z
F1 0.260 0.548 0.375
F2 0.908 0.244 0.408
F3 0.557 0.498 0.167
F4 0.385 0.986 0.333
F5 0.740 0.452 0.625
F6 0.918 0.734 0.916
F7 0.743 0.161 0.908
F8 0.443 0.502 0.833
F9 0.082 0.266 0.084
F10 0.615 0.014 0.667
F11 0.257 0.839 0.092
F12 0.092 0.756 0.592
V1 0.000 0.500 0.500
V2 0.578 0.768 0.255
V3 0.422 0.232 0.745
V4 0.000 0.000 0.000
O1 0.772 0.927 0.147
O2 0.779 0.689 0.388
O3 0.228 0.073 0.853
O4 0.221 0.311 0.612
```

Computed properties:
ρ	2.87	g/cm3
D(E_F)	0.000	states/eV/atom
electronic total energy	-5.8697	eV per atom


(4)
# V2O3F

A geometry-optimized V2O3F structure (PBE+U, Alexandria).

```
data_V2O3F
_chemical_formula_sum 'V8 O12 F4'
_cell_length_a 4.835
_cell_length_b 5.680
_cell_length_c 10.464
_cell_angle_alpha 90.00
_cell_angle_beta 90.00
_cell_angle_gamma 90.00
_symmetry_space_group_name_H-M 'P 1'
_symmetry_Int_Tables_number 1
loop_
_symmetry_equiv_pos_as_xyz
'x,y,z'
loop_
_atom_site_label
_atom_site_fract_x
_atom_site_fract_y
_atom_site_fract_z
O1 0.136 0.748 0.903
O2 0.864 0.248 0.097
O3 0.687 0.754 0.586
O4 0.813 0.754 0.086
O5 0.198 0.499 0.663
O6 0.698 0.999 0.837
O7 0.802 0.999 0.337
O8 0.313 0.254 0.414
O9 0.364 0.748 0.403
O10 0.187 0.254 0.914
O11 0.302 0.499 0.163
O12 0.636 0.248 0.597
F1 0.809 0.493 0.326
F2 0.309 0.993 0.174
F3 0.691 0.493 0.826
F4 0.191 0.993 0.674
V1 0.069 0.240 0.265
V2 0.076 0.509 0.030
V3 0.931 0.740 0.735
V4 0.924 0.009 0.970
V5 0.569 0.740 0.235
V6 0.431 0.240 0.765
V7 0.576 0.009 0.470
V8 0.424 0.509 0.530
```

Computed properties:
ρ	3.90	g/cm3
energy relative to the lowest polymorph listed for this composition	0.0327	eV per atom


(5)
# V3O4F2

A geometry-optimized V3O4F2 structure (PBE+U, Alexandria).

```
data_V3O4F2
_chemical_formula_sum 'V6 O8 F4'
_cell_length_a 5.577
_cell_length_b 5.577
_cell_length_c 7.437
_cell_angle_alpha 71.15
_cell_angle_beta 71.15
_cell_angle_gamma 70.19
_symmetry_space_group_name_H-M 'P 1'
_symmetry_Int_Tables_number 1
loop_
_symmetry_equiv_pos_as_xyz
'x,y,z'
loop_
_atom_site_label
_atom_site_fract_x
_atom_site_fract_y
_atom_site_fract_z
O1 0.908 0.908 0.295
O2 0.636 0.028 0.664
O3 0.705 0.295 0.000
O4 0.092 0.092 0.705
O5 0.364 0.972 0.336
O6 0.972 0.364 0.336
O7 0.295 0.705 0.000
O8 0.028 0.636 0.664
V1 0.317 0.317 0.659
V2 0.000 0.000 0.500
V3 0.000 0.000 0.000
V4 0.667 0.667 0.829
V5 0.683 0.683 0.341
V6 0.333 0.333 0.171
F1 0.557 0.557 0.637
F2 0.443 0.443 0.363
F3 0.230 0.230 0.965
F4 0.770 0.770 0.035
```

Computed properties:
ρ	4.23	g/cm3
energy relative to the lowest polymorph listed for this composition	0.0439	eV per atom


(6)
# V3O5F

A geometry-optimized V3O5F structure (PBE+U, Alexandria).

```
data_V3O5F
_chemical_formula_sum 'V6 O10 F2'
_cell_length_a 3.058
_cell_length_b 6.450
_cell_length_c 10.296
_cell_angle_alpha 71.83
_cell_angle_beta 90.00
_cell_angle_gamma 90.00
_symmetry_space_group_name_H-M 'P 1'
_symmetry_Int_Tables_number 1
loop_
_symmetry_equiv_pos_as_xyz
'x,y,z'
loop_
_atom_site_label
_atom_site_fract_x
_atom_site_fract_y
_atom_site_fract_z
O1 0.000 0.969 0.670
O2 0.000 0.296 0.997
O3 0.500 0.729 0.543
O4 0.500 0.265 0.463
O5 0.000 0.638 0.336
O6 0.000 0.707 0.997
O7 0.500 0.934 0.135
O8 0.500 0.598 0.802
O9 0.000 0.361 0.669
O10 0.500 0.404 0.189
V1 0.500 0.177 0.645
V2 0.500 0.500 0.997
V3 0.000 0.664 0.671
V4 0.500 0.816 0.343
V5 0.000 0.355 0.322
V6 0.000 0.991 0.016
F1 0.000 0.033 0.335
F2 0.500 0.064 0.871
```

Computed properties:
ρ	4.33	g/cm3
D(E_F)	0.043	states/eV/atom
energy relative to the lowest polymorph listed for this composition	0.0177	eV per atom


(7)
# V3OF11

A geometry-optimized V3OF11 structure (PBE+U, Alexandria).

```
data_V3OF11
_chemical_formula_sum 'V6 O2 F22'
_cell_length_a 5.271
_cell_length_b 5.465
_cell_length_c 15.001
_cell_angle_alpha 100.33
_cell_angle_beta 89.88
_cell_angle_gamma 90.34
_symmetry_space_group_name_H-M 'P 1'
_symmetry_Int_Tables_number 1
loop_
_symmetry_equiv_pos_as_xyz
'x,y,z'
loop_
_atom_site_label
_atom_site_fract_x
_atom_site_fract_y
_atom_site_fract_z
V1 0.532 0.124 0.330
V2 0.493 0.504 0.000
V3 0.993 0.004 0.000
V4 0.014 0.321 0.667
V5 0.531 0.792 0.663
V6 0.014 0.653 0.335
F1 0.295 0.814 0.023
F2 0.905 0.714 0.448
F3 0.910 0.044 0.116
F4 0.906 0.383 0.781
F5 0.292 0.465 0.358
F6 0.796 0.693 0.976
F7 0.792 0.025 0.640
F8 0.078 0.298 0.550
F9 0.190 0.314 0.024
F10 0.405 0.800 0.554
F11 0.690 0.194 0.978
F12 0.411 0.462 0.884
F13 0.226 0.629 0.692
F14 0.792 0.356 0.308
F15 0.073 0.964 0.884
F16 0.226 0.961 0.360
F17 0.405 0.130 0.222
F18 0.573 0.550 0.116
F19 0.580 0.896 0.780
F20 0.078 0.630 0.218
F21 0.580 0.228 0.448
F22 0.292 0.133 0.690
O1 0.713 0.876 0.311
O2 0.713 0.544 0.643
```

Computed properties:
ρ	2.95	g/cm3
D(E_F)	0.000	states/eV/atom
energy relative to the lowest polymorph listed for this composition	0.0070	eV per atom


(8)
# V3OF

A geometry-optimized V3OF structure (PBE+U, Alexandria).

```
data_V3OF
_chemical_formula_sum 'V3 O1 F1'
_cell_length_a 3.970
_cell_length_b 3.970
_cell_length_c 3.970
_cell_angle_alpha 90.00
_cell_angle_beta 90.00
_cell_angle_gamma 90.00
_symmetry_space_group_name_H-M 'P 1'
_symmetry_Int_Tables_number 1
loop_
_symmetry_equiv_pos_as_xyz
'x,y,z'
loop_
_atom_site_label
_atom_site_fract_x
_atom_site_fract_y
_atom_site_fract_z
V1 0.000 0.000 0.500
V2 0.000 0.500 0.000
V3 0.500 0.000 0.000
F1 0.500 0.500 0.500
O1 0.000 0.000 0.000
```

Computed properties:
ρ	4.98	g/cm3
D(E_F)	0.729	states/eV/atom
energy relative to the lowest polymorph listed for this composition	0.0000	eV per atom


no.,magnetization (μB/f.u.)
1,7.000
2,5.000
3,0.000
4,3.000
5,5.000
6,4.000
7,2.000
8,0.284